Version 1
A plane-wave DFT calculation with PBE-GGA was carried out for crystalline NaCa2Zr at its relaxed geometry.

a b c (Å): 8.7456 8.7456 6.9265
angles (deg): 90.00 90.00 90.00
Last column: nearest neighbours and their distance in Å.
Space group I-42d (No. 122)
Inequivalent atoms, fractional coordinates:
Na1 0.0000 0.0000 0.0000  4 Ca 3.12, 2 Zr 3.46
Ca1 0.2337 0.7500 0.1250  2 Na 3.12, 2 Zr 3.31, 2 Ca 3.47
Zr1 0.0000 0.0000 0.5000  4 Ca 3.31, 2 Na 3.46

---

Version 2
A plane-wave DFT calculation with PBE-GGA was carried out for crystalline NaCa2Zr at its relaxed geometry.

a b c (Å): 3.4023 3.4023 39.0283
angles (deg): 90.00 90.00 120.00
Last column: nearest neighbours and their distance in Å.
Space group R-3m (No. 166, hexagonal axes)
Inequivalent atoms, fractional coordinates:
Na1 0.0000 0.0000 0.0000  6 Na 3.40, 6 Ca 3.80
Ca1 0.0000 0.0000 0.4168  1 Zr 3.25, 6 Ca 3.40
Zr1 0.0000 0.0000 0.5000  2 Ca 3.25, 6 Zr 3.40

---

It comes down to version 2, which is 229 meV per atom more stable than the next structure.